SmYPb2 | PBE | relaxed

Computed properties:
- N(E_F) (states/eV per atom) = 0.672
- energy of formation from the pure elements (kcal/mol of atoms) = -12.21
- final energy (eV/atom) = -5.1795

Unit cell a=4.558 b=4.483 c=6.314 alpha=90.00 beta=111.10 gamma=90.00
Sites, in units of the cell vectors:
1 Sm 0.713 0.000 0.966
2 Pb 0.984 0.000 0.505
3 Pb 0.181 0.500 0.903
4 Y 0.453 0.500 0.443

---

AsAu3 | PBE | relaxed

Computed properties:
- N(E_F) (states/eV per atom) = 0.374
- energy of formation from the pure elements (kcal/mol of atoms) = 3.63
- final energy (eV/atom) = -3.4629

Unit cell a=4.197 b=4.197 c=4.197 alpha=90.00 beta=90.00 gamma=90.00
Sites, in units of the cell vectors:
1 Au 0.000 0.500 0.500
2 Au 0.500 0.500 0.000
3 As 0.000 0.000 0.000
4 Au 0.500 0.000 0.500

---

Question: Which value of final energy does entry 1 give?
Answer: -5.1795 eV/atom

---

Question: Number 1 is which compound?
Answer: SmYPb2

---

Question: Look up the final energy of the second one.
Answer: -3.4629 eV/atom